Material: ScRuBr2
Method: DFT, GGA-PBEsol
State: relaxed

Unit cell a=6.1151 b=6.5125 c=4.0949 alpha=90.00 beta=90.00 gamma=90.00
Space group Cmmm (No. 65)
Unique sites:
Sc1 0.0000 0.0000 0.0000 (multiplicity 2)
Ru1 0.0000 0.5000 0.0000 (multiplicity 2)
Br1 0.0000 0.2686 0.5000 (multiplicity 4)

spin magnetization = 0.1938 μB per atom
E_tot = -5.20 eV/atom